Entry 1:
# DyY3Th2Sb6

A geometry-optimized DyY3Th2Sb6 structure (PBE, the Alexandria database).

Unit cell a=9.901 b=9.901 c=8.845 alpha=102.80 beta=102.80 gamma=25.92
Fractional coordinates of all 12 atoms:
Dy (0.000, 0.000, 0.000)
Y (0.000, 0.000, 0.500)
Y (0.333, 0.333, 0.166)
Y (0.667, 0.667, 0.834)
Th (0.335, 0.335, 0.669)
Th (0.665, 0.665, 0.331)
Sb (0.165, 0.165, 0.588)
Sb (0.166, 0.166, 0.077)
Sb (0.497, 0.497, 0.248)
Sb (0.503, 0.503, 0.752)
Sb (0.834, 0.834, 0.923)
Sb (0.835, 0.835, 0.412)

Properties
Raw formation energy in meV per atom: -1081
D(E_F) in states/eV/cell: 4.560

Entry 2:
# KSrTc4

A geometry-optimized KSrTc4 structure (PBE, the Alexandria database).

Unit cell a=5.520 b=5.520 c=5.520 alpha=60.00 beta=60.00 gamma=60.00
Fractional coordinates of all 6 atoms:
K (0.000, 0.000, 0.000)
Sr (0.750, 0.750, 0.750)
Tc (0.375, 0.375, 0.375)
Tc (0.375, 0.375, 0.875)
Tc (0.375, 0.875, 0.375)
Tc (0.875, 0.375, 0.375)

Properties
Energy relative to the elements in eV per atom: 0.94
D(E_F) in states/eV/cell: 9.173

Entry 3:
# HoMg2Zr

A geometry-optimized HoMg2Zr structure (PBE, the Alexandria database).

Unit cell a=3.297 b=4.924 c=12.307 alpha=90.00 beta=90.00 gamma=90.00
Fractional coordinates of all 8 atoms:
Ho (0.250, 0.250, 0.201)
Ho (0.750, 0.750, 0.799)
Mg (0.250, 0.250, 0.683)
Mg (0.250, 0.750, 0.544)
Mg (0.750, 0.250, 0.456)
Mg (0.750, 0.750, 0.317)
Zr (0.250, 0.250, 0.944)
Zr (0.750, 0.750, 0.056)

Properties
Energy above the lowest structure with this stoichiometry in eV/atom: 0.000
Energy relative to the elements in eV per atom: 0.01
D(E_F) in states/eV/cell: 6.863